The following is a PBE with a Hubbard U calculation of Ac3ScNi2O9 after structural relaxation, from Alexandria.

a = 5.641 Å, b = 5.641 Å, c = 6.913 Å
α = 90.00°, β = 90.00°, γ = 120.00°
Positions (direct):
1 Ac 0.333 0.667 0.677
2 Ac 0.000 0.000 0.000
3 Ac 0.667 0.333 0.323
4 Sc 0.000 0.000 0.500
5 Ni 0.333 0.667 0.165
6 Ni 0.667 0.333 0.835
7 O 0.830 0.170 0.674
8 O 0.830 0.660 0.674
9 O 0.340 0.170 0.674
10 O 0.660 0.830 0.326
11 O 0.170 0.340 0.326
12 O 0.170 0.830 0.326
13 O 0.500 0.000 0.000
14 O 0.000 0.500 0.000
15 O 0.500 0.500 0.000

Properties
* symmetry: P-3m1, No. 164
* energy: -7.117 eV per atom